# 1
First-principles (PBE) data for an optimized crystal structure of HfTaSeBr2, as listed in Alexandria.

Calculated values
- E_form (uncorrected) (eV per formula unit) = 2.64
- space-group type = P4/mmm
- energy above the most stable polymorph in this dataset (eV per formula unit) = 0.00
- total magnetization (μB/f.u.) = 4.0

The structure in POSCAR format:
```
HfTaSeBr2
1.0
5.1800 0.0000 0.0000
0.0000 5.1800 0.0000
0.0000 0.0000 5.2370
Br Ta Se Hf
2 1 1 1
direct
0.5000 0.0000 0.0000 Br
0.0000 0.5000 0.0000 Br
0.5000 0.5000 0.5000 Ta
0.0000 0.0000 0.5000 Se
0.0000 0.0000 0.0000 Hf
```

=====

# 2
First-principles (PBE) data for an optimized crystal structure of NaPr3Pu2Se6, as listed in Alexandria.

Calculated values
- E_form (uncorrected) (eV per formula unit) = -20.20
- space-group type = C2/m
- total magnetization (μB/f.u.) = 11.7

The structure in POSCAR format:
```
NaPr3Pu2Se6
1.0
4.2179 0.0000 0.0000
0.0000 8.4468 0.3002
-2.1090 -2.4349 8.8913
Se Pr Pu Na
6 3 2 1
direct
0.6659 0.0886 0.3319 Se
0.3341 0.9114 0.6681 Se
0.9978 0.7511 0.9955 Se
0.6684 0.5771 0.3368 Se
0.3316 0.4229 0.6632 Se
0.0022 0.2489 0.0045 Se
0.5000 0.5000 0.0000 Pr
0.1655 0.8320 0.3309 Pr
0.8345 0.1680 0.6691 Pr
0.1668 0.3334 0.3335 Pu
0.8332 0.6666 0.6665 Pu
0.5000 0.0000 0.0000 Na
```

=====

# 3
First-principles (PBE) data for an optimized crystal structure of CeGa4Cu, as listed in Alexandria.

Calculated values
- ΔE_f (eV/atom) = -0.0873
- space-group type = I4_1/amd
- total magnetization (μB/f.u.) = 1.0

The structure in POSCAR format:
```
CeGa4Cu
1.0
5.0274 0.0000 0.0000
0.0000 5.0274 0.0000
-2.5137 -2.5137 10.1760
Ce Ga Cu
2 8 2
direct
0.0000 0.0000 0.0000 Ce
0.7500 0.2500 0.5000 Ce
0.6543 0.4004 0.8007 Ga
0.1504 0.9043 0.3007 Ga
0.6036 0.8496 0.6993 Ga
0.0957 0.8496 0.6993 Ga
0.5996 0.8536 0.1993 Ga
0.1464 0.4004 0.8007 Ga
0.1504 0.3964 0.3007 Ga
0.5996 0.3457 0.1993 Ga
0.2500 0.7500 0.5000 Cu
0.5000 0.5000 0.0000 Cu
```

=====

# 4
First-principles (PBE) data for an optimized crystal structure of LaZnTc2, as listed in Alexandria.

Calculated values
- ΔE_f (eV/atom) = 0.2780
- space-group type = P4/mmm
- total magnetization (μB/f.u.) = 0.0

The structure in POSCAR format:
```
LaZnTc2
1.0
-1.9466 1.1399 2.6055
-2.7952 -1.3400 -1.5021
0.9942 -5.7041 3.2384
Tc Zn La
2 1 1
direct
0.0000 0.0000 0.4223 Tc
0.0000 0.0000 0.0777 Tc
0.5000 0.5000 0.2500 Zn
0.5000 0.5000 0.7500 La
```